Record 1
Entry from the Alexandria database: a relaxed structure of Ca2AcHg7 (PBE).

The structure in extended XYZ format:
```
10
Lattice="5.2438 0.0000 0.0000 -2.6219 4.5413 0.0000 0.0000 0.0000 11.9970" Properties=species:S:1:pos:R:3 pbc="T T T"
Ca 0.0000 0.0000 0.0000
Ca 0.0000 3.0275 7.4307
Ac 2.6219 1.5138 4.4573
Hg 0.0000 0.0000 3.0445
Hg 0.0000 0.0000 6.0409
Hg 0.0000 0.0000 8.9954
Hg 0.0000 3.0275 2.3863
Hg 0.0000 3.0275 10.7209
Hg 2.6219 1.5138 0.9150
Hg 2.6219 1.5138 8.0222
```

Record 2
Entry from the Alexandria database: a relaxed structure of CaAcHg2 (PBE).

The structure in extended XYZ format:
```
4
Lattice="0.0000 3.9378 3.9378 3.9378 0.0000 3.9378 3.9378 3.9378 0.0000" Properties=species:S:1:pos:R:3 pbc="T T T"
Ca 0.0000 0.0000 0.0000
Ac 3.9378 3.9378 3.9378
Hg 1.9689 1.9689 1.9689
Hg 5.9067 5.9067 5.9067
```

Properties
Excess energy over the best structure of this formula in the dataset = 0.0 kJ/mol of atoms

Record 3
Entry from the Alexandria database: a relaxed structure of CaAc2Hg3 (PBE).

The structure in extended XYZ format:
```
12
Lattice="5.6036 0.0000 0.0000 -2.8018 4.8529 0.0000 0.0000 0.0000 13.8617" Properties=species:S:1:pos:R:3 pbc="T T T"
Ca 0.0000 3.2353 2.2709
Ca 2.8018 1.6176 11.5909
Ac 0.0000 0.0000 0.0000
Ac 0.0000 0.0000 6.9309
Ac 0.0000 3.2353 9.3602
Ac 2.8018 1.6176 4.5016
Hg 0.0000 0.0000 3.3785
Hg 0.0000 0.0000 10.4832
Hg 0.0000 3.2353 5.6856
Hg 0.0000 3.2353 12.7123
Hg 2.8018 1.6176 1.1495
Hg 2.8018 1.6176 8.1761
```

Properties
Excess energy over the best structure of this formula in the dataset = 0.0 kJ/mol of atoms

Record 4
Entry from the Alexandria database: a relaxed structure of CaAcHo2Hg4 (PBE).

The structure in extended XYZ format:
```
8
Lattice="2.6573 1.5342 9.1316 -2.6573 1.5342 9.1316 0.0000 -3.0684 9.1316" Properties=species:S:1:pos:R:3 pbc="T T T"
Ca 0.0000 0.0000 0.0000
Ac 0.0000 0.0000 13.6974
Ho 0.0000 0.0000 7.0134
Ho 0.0000 0.0000 20.3814
Hg 0.0000 0.0000 3.1747
Hg 0.0000 0.0000 10.2181
Hg 0.0000 0.0000 17.1767
Hg 0.0000 0.0000 24.2201
```

Record 5
Entry from the Alexandria database: a relaxed structure of CaAcIn2Hg2 (PBE).

The structure in extended XYZ format:
```
6
Lattice="4.9999 0.0000 0.0000 -2.5000 4.3301 0.0000 0.0000 0.0000 7.8671" Properties=species:S:1:pos:R:3 pbc="T T T"
Ca 0.0000 0.0000 0.0000
Ac 0.0000 0.0000 3.9335
In 0.0000 2.8867 6.0182
In 2.5000 1.4434 1.8488
Hg 0.0000 2.8867 1.7185
Hg 2.5000 1.4434 6.1485
```

Record 6
Entry from the Alexandria database: a relaxed structure of Ca2AcInHg4 (PBE).

The structure in extended XYZ format:
```
8
Lattice="2.6485 1.5291 9.4108 -2.6485 1.5291 9.4108 0.0000 -3.0582 9.4108" Properties=species:S:1:pos:R:3 pbc="T T T"
Ca 0.0000 0.0000 6.6864
Ca 0.0000 0.0000 21.5459
Ac 0.0000 0.0000 0.0000
In 0.0000 0.0000 14.1162
Hg 0.0000 0.0000 3.4568
Hg 0.0000 0.0000 10.8061
Hg 0.0000 0.0000 17.4263
Hg 0.0000 0.0000 24.7756
```

Number 1: ΔE_f -0.35 eV per atom, E -1.371 eV per atom. Number 2: ΔE_f -0.54 eV per atom, E -2.223 eV per atom. Number 3: ΔE_f -0.52 eV per atom, E -2.377 eV per atom. Number 4: ΔE_f -0.47 eV per atom, E -2.532 eV per atom. Number 5: ΔE_f -0.47 eV per atom, E -2.501 eV per atom. Number 6: ΔE_f -0.45 eV per atom, E -1.955 eV per atom.